A relaxed ZrAlTc3 crystal. Source: the Alexandria database, functional PBE-GGA.

Calculated values
- DOS at the Fermi energy (states/eV/atom) = 1.168
- calculated density (g/cm3) = 7.59
- uncorrected energy (eV per atom) = -7.866
- magnetization (μB/atom) = 0.388
- ΔE_f (eV per formula unit) = 4.060

extended XYZ file:
```
5
Lattice="4.485 0.000 0.000 0.000 4.485 0.000 0.000 0.000 4.485" Properties=species:S:1:pos:R:3 pbc="T T T"
Zr 0.000 0.000 0.000
Al 2.242 2.242 2.242
Tc 0.000 2.242 2.242
Tc 2.242 0.000 2.242
Tc 2.242 2.242 0.000
```